one | This record from Alexandria describes an optimized crystal structure of BaNaLiTl2. The functional is PBE.

The space group is Pmma (No. 51) and the conventional cell measures 6.1265, 7.7489 and 6.5438 Å, with angles of 90.00, 90.00 and 90.00 degrees. Symmetry generates all atoms from Ba at (0.2500, 0.0000, 0.2055), Na at (0.2500, 0.5000, 0.0831), Li at (0.0000, 0.5000, 0.5000) and Tl at (0.2500, 0.2324, 0.6886).

two | This record from Alexandria describes an optimized crystal structure of BaNaLiTl2. The functional is PBE.

The space group is P4/mmm (No. 123) and the conventional cell measures 5.3639, 5.3639 and 5.3954 Å, with angles of 90.00, 90.00 and 90.00 degrees. Symmetry generates all atoms from Ba at (0.0000, 0.0000, 0.0000), Na at (0.5000, 0.5000, 0.0000), Li at (0.5000, 0.5000, 0.5000) and Tl at (0.0000, 0.5000, 0.5000).

Stability summary: most stable one, least stable two.